Record 1
! HoP2O6, relaxed, DFT GGA-PBE; values from VASP
&SYSTEM
  ibrav = 0, nat = 18, ntyp = 3
/
ATOMIC_SPECIES
Ho 164.93 Ho.upf
P 30.97 P.upf
O 16.00 O.upf
ATOMIC_POSITIONS crystal
Ho 0.121 0.879 0.750
Ho 0.879 0.121 0.250
P 0.234 0.365 0.747
P 0.365 0.234 0.247
P 0.635 0.766 0.753
P 0.766 0.635 0.253
O 0.077 0.188 0.637
O 0.126 0.572 0.781
O 0.188 0.077 0.137
O 0.342 0.357 0.516
O 0.357 0.342 0.016
O 0.428 0.874 0.719
O 0.572 0.126 0.281
O 0.643 0.658 0.984
O 0.658 0.643 0.484
O 0.812 0.923 0.863
O 0.874 0.428 0.219
O 0.923 0.812 0.363
CELL_PARAMETERS angstrom
5.094 -4.638 0.000
5.094 4.638 0.000
-2.178 0.000 5.556
! SG: C2/c (15)
! energy: -7.38 eV per atom
! E_form (uncorrected): -2052 kJ/mol of formula units

Record 2
! HoP5O14, relaxed, DFT GGA-PBE; values from VASP
&SYSTEM
  ibrav = 0, nat = 80, ntyp = 3
/
ATOMIC_SPECIES
Ho 164.93 Ho.upf
P 30.97 P.upf
O 16.00 O.upf
ATOMIC_POSITIONS crystal
Ho 0.021 0.250 0.055
Ho 0.479 0.750 0.555
Ho 0.521 0.250 0.445
Ho 0.979 0.750 0.945
P 0.009 0.581 0.295
P 0.009 0.919 0.295
P 0.073 0.750 0.503
P 0.243 0.570 0.772
P 0.243 0.930 0.772
P 0.257 0.070 0.272
P 0.257 0.430 0.272
P 0.427 0.250 0.003
P 0.491 0.081 0.795
P 0.491 0.419 0.795
P 0.509 0.581 0.205
P 0.509 0.919 0.205
P 0.573 0.750 0.997
P 0.743 0.570 0.728
P 0.743 0.930 0.728
P 0.757 0.070 0.228
P 0.757 0.430 0.228
P 0.927 0.250 0.497
P 0.991 0.081 0.705
P 0.991 0.419 0.705
O 0.009 0.634 0.152
O 0.009 0.866 0.152
O 0.024 0.153 0.569
O 0.024 0.347 0.569
O 0.038 0.750 0.661
O 0.115 0.506 0.681
O 0.115 0.994 0.681
O 0.158 0.121 0.161
O 0.158 0.379 0.161
O 0.163 0.527 0.343
O 0.163 0.973 0.343
O 0.171 0.630 0.894
O 0.171 0.870 0.894
O 0.230 0.750 0.441
O 0.270 0.250 0.941
O 0.329 0.130 0.394
O 0.329 0.370 0.394
O 0.337 0.027 0.843
O 0.337 0.473 0.843
O 0.342 0.621 0.661
O 0.342 0.879 0.661
O 0.385 0.006 0.181
O 0.385 0.494 0.181
O 0.462 0.250 0.161
O 0.476 0.653 0.069
O 0.476 0.847 0.069
O 0.491 0.134 0.652
O 0.491 0.366 0.652
O 0.509 0.634 0.348
O 0.509 0.866 0.348
O 0.524 0.153 0.931
O 0.524 0.347 0.931
O 0.538 0.750 0.839
O 0.615 0.506 0.819
O 0.615 0.994 0.819
O 0.658 0.121 0.339
O 0.658 0.379 0.339
O 0.663 0.527 0.157
O 0.663 0.973 0.157
O 0.671 0.630 0.606
O 0.671 0.870 0.606
O 0.730 0.750 0.059
O 0.770 0.250 0.559
O 0.829 0.130 0.106
O 0.829 0.370 0.106
O 0.837 0.027 0.657
O 0.837 0.473 0.657
O 0.842 0.621 0.839
O 0.842 0.879 0.839
O 0.885 0.006 0.319
O 0.885 0.494 0.319
O 0.962 0.250 0.339
O 0.976 0.653 0.431
O 0.976 0.847 0.431
O 0.991 0.134 0.848
O 0.991 0.366 0.848
CELL_PARAMETERS angstrom
8.806 0.000 0.000
0.000 12.790 0.000
0.000 0.000 9.158
! SG: Pnma (62)
! energy: -7.39 eV per atom
! E_form (uncorrected): -4503 kJ/mol of formula units

Record 3
! Ho2P4O13, relaxed, DFT GGA-PBE; values from VASP
&SYSTEM
  ibrav = 0, nat = 38, ntyp = 3
/
ATOMIC_SPECIES
Ho 164.93 Ho.upf
P 30.97 P.upf
O 16.00 O.upf
ATOMIC_POSITIONS crystal
Ho 0.189 0.198 0.050
Ho 0.198 0.189 0.550
Ho 0.802 0.811 0.450
Ho 0.811 0.802 0.950
P 0.251 0.277 0.339
P 0.277 0.251 0.839
P 0.329 0.648 0.134
P 0.352 0.671 0.366
P 0.648 0.329 0.634
P 0.671 0.352 0.866
P 0.723 0.749 0.161
P 0.749 0.723 0.661
O 0.052 0.422 0.404
O 0.081 0.421 0.904
O 0.163 0.823 0.058
O 0.177 0.837 0.442
O 0.189 0.204 0.221
O 0.204 0.189 0.721
O 0.243 0.757 0.250
O 0.369 0.408 0.103
O 0.379 0.422 0.346
O 0.408 0.369 0.603
O 0.421 0.081 0.404
O 0.422 0.052 0.904
O 0.422 0.379 0.846
O 0.578 0.621 0.154
O 0.578 0.948 0.096
O 0.579 0.919 0.596
O 0.592 0.631 0.397
O 0.621 0.578 0.654
O 0.631 0.592 0.897
O 0.757 0.243 0.750
O 0.796 0.811 0.279
O 0.811 0.796 0.779
O 0.823 0.163 0.558
O 0.837 0.177 0.942
O 0.919 0.579 0.096
O 0.948 0.578 0.596
CELL_PARAMETERS angstrom
5.970 -3.404 0.000
5.970 3.404 0.000
-3.721 0.000 12.429
! SG: C2/c (15)
! energy: -7.67 eV per atom
! E_form (uncorrected): -4877 kJ/mol of formula units

Record 4
! Ho2PO, relaxed, DFT GGA-PBE; values from VASP
&SYSTEM
  ibrav = 0, nat = 4, ntyp = 3
/
ATOMIC_SPECIES
Ho 164.93 Ho.upf
P 30.97 P.upf
O 16.00 O.upf
ATOMIC_POSITIONS crystal
Ho 0.242 0.242 0.242
Ho 0.758 0.758 0.758
P 0.000 0.000 0.000
O 0.500 0.500 0.500
CELL_PARAMETERS angstrom
1.859 1.073 5.973
-1.859 1.073 5.973
0.000 -2.146 5.973
! SG: R-3m (166)
! energy: -7.01 eV per atom
! E_form (uncorrected): -822 kJ/mol of formula units